1.
Below is a geometry-optimized Bi3HBr structure, with properties calculated at the PBE level.

Computed properties:
Polymorph energy (0 for the lowest one)   0.0000 eV per atom

POSCAR file:
```
Bi3HBr
1.0
5.0205 0.0000 0.0000
0.0000 5.0205 0.0000
0.0000 0.0000 5.0205
Bi Br H
3 1 1
Cartesian
0.0000 0.0000 2.5102
2.5102 0.0000 0.0000
0.0000 2.5102 0.0000
2.5102 2.5102 2.5102
0.0000 0.0000 0.0000
```



2.
Below is a geometry-optimized BiH2Br structure, with properties calculated at the PBE level.

Computed properties:
Polymorph energy (0 for the lowest one)   0.9667 eV per atom

POSCAR file:
```
BiH2Br
1.0
3.9228 1.5332 1.3733
0.4744 1.4658 4.1535
2.3926 -2.3292 2.9112
Bi Br H
1 1 2
Cartesian
3.3949 0.3349 4.2190
0.0000 0.0000 0.0000
1.6975 0.1674 2.1095
5.0924 0.5023 6.3285
```



3.
Below is a geometry-optimized BiH2Br structure, with properties calculated at the PBE level.

Computed properties:
Polymorph energy (0 for the lowest one)   0.0000 eV per atom

POSCAR file:
```
BiH2Br
1.0
4.6131 -0.3853 -0.0600
0.3873 4.4565 1.0137
0.1374 0.1430 9.6619
Br H Bi
2 4 2
Cartesian
3.6392 1.4295 2.6922
1.4986 2.7846 7.9235
1.4668 -0.0963 0.8706
3.9208 0.2395 8.8273
3.6710 4.3104 9.7451
1.2170 3.9746 1.7883
2.3752 -0.1212 4.8010
0.2623 2.2997 5.3378
```



We obtain size of the total moment values of 0.00 0.00 0.00 μB per cell for the records listed above, in that order.
We obtain density of states at the Fermi level values of 1.03 0.49 0.08 states/eV per atom for the records listed above, in that order.